{"formula": "KRbNiF6", "functional": "GGA+U", "state": "relaxed", "lattice": [[4.977, -2.875, 0.000], [4.977, 2.875, 0.000], [-0.006, 0.000, 4.920]], "species": ["K", "Rb", "Ni", "F", "F", "F", "F", "F", "F"], "fractional_positions": [[0.000, 0.000, 0.000], [0.667, 0.667, 0.446], [0.333, 0.333, 0.756], [0.034, 0.483, 0.963], [0.183, 0.183, 0.549], [0.183, 0.634, 0.550], [0.483, 0.034, 0.963], [0.483, 0.483, 0.963], [0.634, 0.183, 0.550]], "rho_g_cm3": 3.51, "space_group": "No. 8", "vol_a3_per_atom": 15.64, "total_energy_ev_per_atom": -3.905, "magmom_total_mub_per_cell": 0.00}